No. 1
The following is a GGA-PBE calculation of a relaxed structure of InRe2Rh, from the Alexandria database.

Results
The value obtained for the density of states at the Fermi level is 3.32 states/eV per cell. For the energy of formation from the pure elements, the calculation gives 0.170 eV/atom.

Structure (CIF):
```
data_InRe2Rh
_chemical_formula_sum 'In1 Re2 Rh1'
_symmetry_space_group_name_H-M 'P 1'
_symmetry_Int_Tables_number 1
_symmetry_space_group_name_Hall 'P 1'
_cell_length_a 2.8431
_cell_length_b 3.9055
_cell_length_c 5.8229
_cell_angle_alpha 90.00
_cell_angle_beta 90.00
_cell_angle_gamma 90.00
loop_
_atom_site_label
_atom_site_fract_x
_atom_site_fract_y
_atom_site_fract_z
In1 0.5000 0.5000 0.7357
Re1 0.0000 0.0000 0.0364
Re2 0.5000 0.5000 0.2299
Rh1 0.0000 0.0000 0.4980
```

***

No. 2
The following is a GGA-PBE calculation of a relaxed structure of InReRh2, from the Alexandria database.

Results
The value obtained for the density of states at the Fermi level is 3.97 states/eV per cell. For the energy of formation from the pure elements, the calculation gives 0.026 eV/atom.

Structure (CIF):
```
data_InReRh2
_chemical_formula_sum 'In1 Re1 Rh2'
_symmetry_space_group_name_H-M 'P 1'
_symmetry_Int_Tables_number 1
_symmetry_space_group_name_Hall 'P 1'
_cell_length_a 4.7821
_cell_length_b 4.7821
_cell_length_c 2.8413
_cell_angle_alpha 90.00
_cell_angle_beta 90.00
_cell_angle_gamma 106.11
loop_
_atom_site_label
_atom_site_fract_x
_atom_site_fract_y
_atom_site_fract_z
In1 0.0000 0.0000 0.5000
Re1 0.5000 0.5000 0.5000
Rh1 0.5000 0.0000 0.0000
Rh2 0.0000 0.5000 0.0000
```

***

No. 3
The following is a GGA-PBE calculation of a relaxed structure of InRe2Rh, from the Alexandria database.

Results
The value obtained for the density of states at the Fermi level is 3.15 states/eV per cell. For the energy of formation from the pure elements, the calculation gives 0.320 eV/atom.

Structure (CIF):
```
data_InRe2Rh
_chemical_formula_sum 'In1 Re2 Rh1'
_symmetry_space_group_name_H-M 'P 1'
_symmetry_Int_Tables_number 1
_symmetry_space_group_name_Hall 'P 1'
_cell_length_a 3.2043
_cell_length_b 4.2520
_cell_length_c 4.7086
_cell_angle_alpha 90.00
_cell_angle_beta 90.00
_cell_angle_gamma 90.00
loop_
_atom_site_label
_atom_site_fract_x
_atom_site_fract_y
_atom_site_fract_z
In1 0.0000 0.5000 0.5000
Re1 0.0000 0.0000 0.0000
Re2 0.5000 0.5000 0.0000
Rh1 0.5000 0.0000 0.5000
```

***

No. 4
The following is a GGA-PBE calculation of a relaxed structure of InReRh2, from the Alexandria database.

Results
The value obtained for the density of states at the Fermi level is 1.65 states/eV per cell. For the energy of formation from the pure elements, the calculation gives 0.104 eV/atom.

Structure (CIF):
```
data_InReRh2
_chemical_formula_sum 'In1 Re1 Rh2'
_symmetry_space_group_name_H-M 'P 1'
_symmetry_Int_Tables_number 1
_symmetry_space_group_name_Hall 'P 1'
_cell_length_a 6.2839
_cell_length_b 6.2839
_cell_length_c 6.2839
_cell_angle_alpha 154.17
_cell_angle_beta 140.52
_cell_angle_gamma 47.78
loop_
_atom_site_label
_atom_site_fract_x
_atom_site_fract_y
_atom_site_fract_z
In1 0.4547 0.4547 0.0000
Re1 0.2200 0.7200 0.5000
Rh1 0.0357 0.0357 0.0000
Rh2 0.7895 0.2895 0.5000
```

***

No. 5
The following is a GGA-PBE calculation of a relaxed structure of In2ReRh2, from the Alexandria database.

Results
The value obtained for the density of states at the Fermi level is 9.86 states/eV per cell. For the energy of formation from the pure elements, the calculation gives 0.307 eV/atom.

Structure (CIF):
```
data_In2ReRh2
_chemical_formula_sum 'In4 Re2 Rh4'
_symmetry_space_group_name_H-M 'P 1'
_symmetry_Int_Tables_number 1
_symmetry_space_group_name_Hall 'P 1'
_cell_length_a 7.5420
_cell_length_b 7.5420
_cell_length_c 3.0232
_cell_angle_alpha 90.00
_cell_angle_beta 90.00
_cell_angle_gamma 90.00
loop_
_atom_site_label
_atom_site_fract_x
_atom_site_fract_y
_atom_site_fract_z
Re1 0.0000 0.0000 0.0000
Re2 0.5000 0.5000 0.0000
Rh1 0.3663 0.8663 0.0000
Rh2 0.8663 0.6337 0.0000
Rh3 0.6337 0.1337 0.0000
Rh4 0.1337 0.3663 0.0000
In1 0.1654 0.6654 0.5000
In2 0.6654 0.8346 0.5000
In3 0.8346 0.3346 0.5000
In4 0.3346 0.1654 0.5000
```

***

No. 6
The following is a GGA-PBE calculation of a relaxed structure of InReRh2, from the Alexandria database.

Results
The value obtained for the density of states at the Fermi level is 4.70 states/eV per cell. For the energy of formation from the pure elements, the calculation gives 0.179 eV/atom.

Structure (CIF):
```
data_InReRh2
_chemical_formula_sum 'In1 Re1 Rh2'
_symmetry_space_group_name_H-M 'P 1'
_symmetry_Int_Tables_number 1
_symmetry_space_group_name_Hall 'P 1'
_cell_length_a 9.1319
_cell_length_b 9.1319
_cell_length_c 9.1319
_cell_angle_alpha 18.02
_cell_angle_beta 18.02
_cell_angle_gamma 18.02
loop_
_atom_site_label
_atom_site_fract_x
_atom_site_fract_y
_atom_site_fract_z
In1 0.4980 0.4980 0.4980
Re1 0.2553 0.2553 0.2553
Rh1 0.9980 0.9980 0.9980
Rh2 0.7487 0.7487 0.7487
```

***

No. 7
The following is a GGA-PBE calculation of a relaxed structure of InReRh2, from the Alexandria database.

Results
The value obtained for the density of states at the Fermi level is 3.95 states/eV per cell. For the energy of formation from the pure elements, the calculation gives 0.094 eV/atom.

Structure (CIF):
```
data_InReRh2
_chemical_formula_sum 'In1 Re1 Rh2'
_symmetry_space_group_name_H-M 'P 1'
_symmetry_Int_Tables_number 1
_symmetry_space_group_name_Hall 'P 1'
_cell_length_a 4.7448
_cell_length_b 4.7448
_cell_length_c 5.0039
_cell_angle_alpha 82.05
_cell_angle_beta 82.05
_cell_angle_gamma 34.54
loop_
_atom_site_label
_atom_site_fract_x
_atom_site_fract_y
_atom_site_fract_z
In1 0.0000 0.0000 0.5000
Re1 0.5000 0.5000 0.0000
Rh1 0.2467 0.2467 0.7688
Rh2 0.7533 0.7533 0.2312
```

***

No. 8
The following is a GGA-PBE calculation of a relaxed structure of InReRh2, from the Alexandria database.

Results
The value obtained for the density of states at the Fermi level is 2.08 states/eV per cell. For the energy of formation from the pure elements, the calculation gives 0.273 eV/atom.

Structure (CIF):
```
data_InReRh2
_chemical_formula_sum 'In1 Re1 Rh2'
_symmetry_space_group_name_H-M 'P 1'
_symmetry_Int_Tables_number 1
_symmetry_space_group_name_Hall 'P 1'
_cell_length_a 4.4720
_cell_length_b 4.4720
_cell_length_c 4.4720
_cell_angle_alpha 60.00
_cell_angle_beta 60.00
_cell_angle_gamma 60.00
loop_
_atom_site_label
_atom_site_fract_x
_atom_site_fract_y
_atom_site_fract_z
In1 0.5000 0.5000 0.5000
Re1 0.2500 0.2500 0.2500
Rh1 0.0000 0.0000 0.0000
Rh2 0.7500 0.7500 0.7500
```

***

No. 9
The following is a GGA-PBE calculation of a relaxed structure of InReRh2, from the Alexandria database.

Results
The value obtained for the density of states at the Fermi level is 4.57 states/eV per cell. For the energy of formation from the pure elements, the calculation gives 0.156 eV/atom.

Structure (CIF):
```
data_InReRh2
_chemical_formula_sum 'In1 Re1 Rh2'
_symmetry_space_group_name_H-M 'P 1'
_symmetry_Int_Tables_number 1
_symmetry_space_group_name_Hall 'P 1'
_cell_length_a 4.9133
_cell_length_b 4.9133
_cell_length_c 4.9133
_cell_angle_alpha 132.74
_cell_angle_beta 132.74
_cell_angle_gamma 69.06
loop_
_atom_site_label
_atom_site_fract_x
_atom_site_fract_y
_atom_site_fract_z
In1 0.5000 0.5000 0.0000
Re1 0.7500 0.2500 0.5000
Rh1 0.0000 0.0000 0.0000
Rh2 0.2500 0.7500 0.5000
```

***

No. 10
The following is a GGA-PBE calculation of a relaxed structure of InRe2Rh, from the Alexandria database.

Results
The value obtained for the density of states at the Fermi level is 1.62 states/eV per cell. For the energy of formation from the pure elements, the calculation gives 0.138 eV/atom.

Structure (CIF):
```
data_InRe2Rh
_chemical_formula_sum 'In1 Re2 Rh1'
_symmetry_space_group_name_H-M 'P 1'
_symmetry_Int_Tables_number 1
_symmetry_space_group_name_Hall 'P 1'
_cell_length_a 9.1696
_cell_length_b 9.1696
_cell_length_c 9.1696
_cell_angle_alpha 17.97
_cell_angle_beta 17.97
_cell_angle_gamma 17.97
loop_
_atom_site_label
_atom_site_fract_x
_atom_site_fract_y
_atom_site_fract_z
In1 0.2482 0.2482 0.2482
Re1 0.0054 0.0054 0.0054
Re2 0.7498 0.7498 0.7498
Rh1 0.4966 0.4966 0.4966
```

***

No. 11
The following is a GGA-PBE calculation of a relaxed structure of InRe2Rh, from the Alexandria database.

Results
The value obtained for the density of states at the Fermi level is 4.77 states/eV per cell. For the energy of formation from the pure elements, the calculation gives 0.400 eV/atom.

Structure (CIF):
```
data_InRe2Rh
_chemical_formula_sum 'In1 Re2 Rh1'
_symmetry_space_group_name_H-M 'P 1'
_symmetry_Int_Tables_number 1
_symmetry_space_group_name_Hall 'P 1'
_cell_length_a 2.7818
_cell_length_b 2.7818
_cell_length_c 8.2782
_cell_angle_alpha 90.00
_cell_angle_beta 90.00
_cell_angle_gamma 90.00
loop_
_atom_site_label
_atom_site_fract_x
_atom_site_fract_y
_atom_site_fract_z
In1 0.5000 0.5000 0.5000
Re1 0.0000 0.0000 0.7689
Re2 0.0000 0.0000 0.2311
Rh1 0.5000 0.5000 0.0000
```

***

No. 12
The following is a GGA-PBE calculation of a relaxed structure of InRe2Rh, from the Alexandria database.

Results
The value obtained for the density of states at the Fermi level is 3.33 states/eV per cell. For the energy of formation from the pure elements, the calculation gives 0.070 eV/atom.

Structure (CIF):
```
data_InRe2Rh
_chemical_formula_sum 'In1 Re2 Rh1'
_symmetry_space_group_name_H-M 'P 1'
_symmetry_Int_Tables_number 1
_symmetry_space_group_name_Hall 'P 1'
_cell_length_a 2.8866
_cell_length_b 2.8866
_cell_length_c 7.7248
_cell_angle_alpha 90.00
_cell_angle_beta 90.00
_cell_angle_gamma 90.00
loop_
_atom_site_label
_atom_site_fract_x
_atom_site_fract_y
_atom_site_fract_z
In1 0.5000 0.5000 0.7446
Re1 0.0000 0.0000 0.0255
Re2 0.5000 0.5000 0.2457
Rh1 0.0000 0.0000 0.4843
```